Density functional theory data (SCAN) for a crystal of Ba2DyCu3O7 relaxed with PBEsol.

POSCAR file:
```
Ba2DyCu3O7
1.0
-2.8316 1.3219 2.1584
-2.4675 -0.4993 -2.9314
-2.1933 -10.6842 3.6660
Ba Dy Cu O
2 1 3 7
direct
0.0000 0.0000 0.6817 Ba
0.0000 0.0000 0.3183 Ba
0.0000 0.0000 0.0000 Dy
0.5000 0.5000 0.8525 Cu
0.5000 0.5000 0.1475 Cu
0.5000 0.5000 0.5000 Cu
0.5000 0.5000 0.6616 O
0.0000 0.5000 0.1216 O
0.5000 0.0000 0.5000 O
0.5000 0.5000 0.3384 O
0.5000 0.0000 0.8775 O
0.0000 0.5000 0.8784 O
0.5000 0.0000 0.1225 O
```

## Properties
Formation energy from raw total energies = -2.0633 eV/atom
Magnetic moment = 0.00 μB/cell